Record 1
TiGaHgBi2 | PBE | optimized geometry

Structure (POSCAR):
```
TiGaHgBi2
1.0
-2.828 -4.569 -0.382
4.561 -2.889 0.795
-0.868 0.093 5.316
Bi Hg Ga Ti
2 1 1 1
Direct
0.000 0.000 0.500
0.500 0.000 0.000
0.000 0.500 0.000
0.500 0.500 0.500
0.000 0.000 0.000
```

***

Record 2
Tl2GaHg2Bi | PBE | optimized geometry

Structure (POSCAR):
```
Tl2GaHg2Bi
1.0
6.349 0.000 0.000
0.000 6.283 0.000
-3.175 -3.142 8.655
Tl Hg Ga Bi
4 4 2 2
Direct
0.010 0.678 0.357
0.653 0.822 0.643
0.347 0.178 0.357
0.990 0.322 0.643
0.801 0.136 0.272
0.471 0.636 0.272
0.529 0.364 0.728
0.199 0.864 0.728
0.500 0.750 0.000
0.500 0.250 0.000
0.000 0.250 0.000
0.000 0.750 0.000
```

***

Record 3
TlGaHg2Bi | PBE | optimized geometry

Structure (POSCAR):
```
TlGaHg2Bi
1.0
-2.683 4.414 -1.113
-1.019 -1.841 -4.847
-4.831 -2.447 1.945
Hg Ga Bi Tl
2 1 1 1
Direct
0.500 0.000 0.000
0.000 0.500 0.000
0.000 0.000 0.000
0.000 0.000 0.500
0.500 0.500 0.500
```

***

Record 4
ZnGaHgBi | PBE | optimized geometry

Structure (POSCAR):
```
ZnGaHgBi
1.0
-4.255 0.824 -2.755
-4.577 -1.396 1.865
-3.368 3.581 1.486
Hg Bi Ga Zn
1 1 1 1
Direct
0.000 0.000 0.000
0.500 0.500 0.500
0.250 0.250 0.250
0.750 0.750 0.750
```

***

Record 5
Ho12Ga6Bi | PBE | optimized geometry

Structure (POSCAR):
```
Ho12Ga6Bi
1.0
8.218 0.000 -2.906
-4.109 7.117 -2.906
0.000 0.000 8.717
Ga Ho Bi
6 12 1
Direct
0.622 0.500 0.122
0.500 0.878 0.378
0.378 0.500 0.878
0.878 0.378 0.500
0.122 0.622 0.500
0.500 0.122 0.622
0.702 0.892 0.189
0.892 0.189 0.702
0.702 0.513 0.811
0.811 0.298 0.108
0.487 0.189 0.298
0.189 0.298 0.487
0.298 0.108 0.811
0.811 0.702 0.513
0.189 0.702 0.892
0.513 0.811 0.702
0.298 0.487 0.189
0.108 0.811 0.298
0.000 0.000 0.000
```

***

Record 6
Ho8GaBi2 | PBE | optimized geometry

Structure (POSCAR):
```
Ho8GaBi2
1.0
-2.110 -4.069 -2.198
6.253 -2.358 -1.637
1.752 -2.569 8.952
Bi Ho Ga
2 8 1
Direct
0.831 0.179 0.662
0.169 0.821 0.338
0.974 0.759 0.947
0.785 0.633 0.570
0.591 0.565 0.182
0.346 0.915 0.692
0.215 0.367 0.430
0.654 0.085 0.308
0.409 0.435 0.818
0.026 0.241 0.053
0.500 0.000 0.000
```

***

Record 7
Ho2GaBi | PBE | optimized geometry

Structure (POSCAR):
```
Ho2GaBi
1.0
4.208 0.000 0.000
2.104 3.645 0.000
2.104 1.215 7.426
Bi Ho Ga
1 2 1
Direct
0.500 0.500 0.500
0.253 0.253 0.242
0.747 0.747 0.758
0.000 0.000 0.000
```

***

Record 8
Ho8Ga2Bi | PBE | optimized geometry

Structure (POSCAR):
```
Ho8Ga2Bi
1.0
4.877 0.000 0.000
0.000 7.017 0.369
-2.439 -2.555 9.021
Ho Bi Ga
8 1 2
Direct
0.667 0.972 0.334
0.968 0.250 0.937
0.596 0.470 0.191
0.790 0.678 0.580
0.404 0.530 0.809
0.210 0.322 0.420
0.032 0.750 0.063
0.333 0.028 0.666
0.500 0.000 0.000
0.811 0.261 0.622
0.189 0.739 0.378
```

***

Computed total magnetic moment (μB/atom) in order:
0.000 0.000 0.000 0.000 0.000 0.000 0.000 0.000
Computed final energy (eV/atom) in order:
-3.5489 -2.0230 -1.8202 -2.0184 -4.4480 -4.6541 -4.5336 -4.5355